Record 1
16
Lattice="2.633 -6.622 0.000 2.633 6.622 0.000 0.000 0.000 12.933" Properties=species:S:1:pos:R:3 comment="Ho2SbS5, optimized geometry, DFT PBE" spacegroup=Cmcm e_form_raw_mev_per_atom=-1271 pbc="T T T"
Ho 2.633 4.565 7.320
Ho 2.633 4.565 12.080
Ho 2.633 -4.565 0.853
Ho 2.633 -4.565 5.614
Sb 2.633 4.345 3.233
Sb 2.633 -4.345 9.700
S 2.633 6.040 1.389
S 2.633 6.040 5.078
S 2.633 3.050 9.700
S 2.633 2.599 1.079
S 2.633 2.599 5.388
S 2.633 -2.599 7.545
S 2.633 -2.599 11.855
S 2.633 -3.050 3.233
S 2.633 -6.040 7.855
S 2.633 -6.040 11.545

***

Record 2
20
Lattice="10.014 0.000 0.000 0.000 10.014 0.000 0.000 0.000 3.959" Properties=species:S:1:pos:R:3 comment="Na2Zn2CdAg5, optimized geometry, DFT PBE" spacegroup=P4/mbm formation_enthalpy_0k_ev_per_atom=-0.030 pbc="T T T"
Na 1.759 3.248 0.000
Na 3.248 8.255 0.000
Na 6.766 1.759 0.000
Na 8.255 6.766 0.000
Zn 1.218 6.225 0.000
Zn 3.789 1.218 0.000
Zn 6.225 8.796 0.000
Zn 8.796 3.789 0.000
Cd 0.000 0.000 0.000
Cd 5.007 5.007 0.000
Ag 0.000 5.007 1.980
Ag 0.673 7.971 1.980
Ag 2.044 0.673 1.980
Ag 2.963 5.680 1.980
Ag 4.334 2.963 1.980
Ag 5.007 0.000 1.980
Ag 5.680 7.051 1.980
Ag 7.051 4.334 1.980
Ag 7.971 9.341 1.980
Ag 9.341 2.044 1.980

***

Record 3
16
Lattice="-3.862 3.862 6.529 3.862 -3.862 6.529 3.862 3.862 -6.529" Properties=species:S:1:pos:R:3 comment="Sm5SiNi2, optimized geometry, DFT PBE" spacegroup=I4/mcm e_form_raw_mev_per_atom=-362 pbc="T T T"
Sm 0.000 0.000 0.000
Sm 5.119 1.256 -1.859
Sm 1.256 2.606 -1.859
Sm 5.119 1.256 1.859
Sm 1.256 2.606 1.859
Sm 0.000 0.000 6.529
Sm 2.606 1.256 4.670
Sm -1.256 2.606 4.670
Sm 2.606 1.256 8.388
Sm -1.256 2.606 8.388
Si 0.000 0.000 3.264
Si 0.000 0.000 9.793
Ni 2.904 0.959 0.000
Ni 2.904 -0.959 6.529
Ni 0.959 4.821 0.000
Ni 0.959 2.904 6.529